Record 1
# Nd6TeSe2S3, optimized geometry, DFT PBE
data_Nd6TeSe2S3
_chemical_formula_sum 'Nd6 Te1 Se2 S3'
_cell_length_a 4.166
_cell_length_b 8.481
_cell_length_c 9.426
_cell_angle_alpha 103.88
_cell_angle_beta 102.77
_cell_angle_gamma 90.00
_space_group_name_H-M_alt 'P 1'
_space_group_IT_number 1
_space_group_name_Hall 'P 1'
loop_
_atom_site_label
_atom_site_fract_x
_atom_site_fract_y
_atom_site_fract_z
_atom_site_occupancy
S1 0.835 0.169 0.671 1
Te1 0.500 0.000 0.000 1
Nd1 0.995 0.277 0.990 1
S2 0.165 0.831 0.329 1
Nd2 0.323 0.930 0.646 1
Nd3 0.661 0.596 0.323 1
Se1 0.832 0.667 0.665 1
Nd4 0.677 0.070 0.354 1
Se2 0.168 0.333 0.335 1
Nd5 0.339 0.404 0.677 1
Nd6 0.005 0.723 0.010 1
S3 0.500 0.500 0.000 1
# Formation energy from raw total energies = -1.863 eV/atom
# Uncorrected energy = -73.46 eV/cell
# M_tot = 0.00 μB/cell

=====

Record 2
# LiCaGe4, optimized geometry, DFT PBE
data_LiCaGe4
_chemical_formula_sum 'Li1 Ca1 Ge4'
_cell_length_a 5.625
_cell_length_b 5.625
_cell_length_c 5.625
_cell_angle_alpha 60.00
_cell_angle_beta 60.00
_cell_angle_gamma 60.00
_space_group_name_H-M_alt 'P 1'
_space_group_IT_number 1
_space_group_name_Hall 'P 1'
loop_
_atom_site_label
_atom_site_fract_x
_atom_site_fract_y
_atom_site_fract_z
_atom_site_occupancy
Ge1 0.626 0.626 0.123 1
Li1 0.000 0.000 0.000 1
Ca1 0.250 0.250 0.250 1
Ge2 0.626 0.626 0.626 1
Ge3 0.626 0.123 0.626 1
Ge4 0.123 0.626 0.626 1
# Calculated formation energy = -0.18 eV per atom
# Uncorrected energy = -23.45 eV/cell
# M_tot = 0.00 μB/cell

=====

Record 3
# Si2HgIr2, optimized geometry, DFT PBE
data_Si2HgIr2
_chemical_formula_sum 'Si2 Hg1 Ir2'
_cell_length_a 3.718
_cell_length_b 3.718
_cell_length_c 6.397
_cell_angle_alpha 73.11
_cell_angle_beta 73.11
_cell_angle_gamma 90.00
_space_group_name_H-M_alt 'P 1'
_space_group_IT_number 1
_space_group_name_Hall 'P 1'
loop_
_atom_site_label
_atom_site_fract_x
_atom_site_fract_y
_atom_site_fract_z
_atom_site_occupancy
Ir1 0.621 0.621 0.758 1
Hg1 0.000 0.000 0.000 1
Si1 0.250 0.750 0.500 1
Ir2 0.379 0.379 0.242 1
Si2 0.750 0.250 0.500 1
# Formation energy from raw total energies = -0.417 eV/atom
# Uncorrected energy = -30.96 eV/cell
# M_tot = 0.00 μB/cell

=====

Record 4
# Tm2ThScBi5, optimized geometry, DFT PBE
data_Tm2ThScBi5
_chemical_formula_sum 'Tm2 Th1 Sc1 Bi5'
_cell_length_a 5.767
_cell_length_b 5.767
_cell_length_c 11.532
_cell_angle_alpha 90.00
_cell_angle_beta 90.00
_cell_angle_gamma 90.00
_space_group_name_H-M_alt 'P 1'
_space_group_IT_number 1
_space_group_name_Hall 'P 1'
loop_
_atom_site_label
_atom_site_fract_x
_atom_site_fract_y
_atom_site_fract_z
_atom_site_occupancy
Bi1 0.500 0.000 0.500 1
Tm1 0.500 0.500 0.723 1
Th1 0.000 0.000 0.500 1
Tm2 0.500 0.500 0.277 1
Bi2 0.000 0.500 0.500 1
Bi3 0.000 0.000 0.765 1
Bi4 0.500 0.500 0.000 1
Sc1 0.000 0.000 0.000 1
Bi5 0.000 0.000 0.235 1
# Calculated formation energy = 0.32 eV per atom
# Uncorrected energy = -39.26 eV/cell
# M_tot = 0.00 μB/cell

=====

Record 5
# Y3Ho8Th2, optimized geometry, DFT PBE
data_Y3Ho8Th2
_chemical_formula_sum 'Y3 Ho8 Th2'
_cell_length_a 5.649
_cell_length_b 7.343
_cell_length_c 11.005
_cell_angle_alpha 109.49
_cell_angle_beta 90.04
_cell_angle_gamma 90.00
_space_group_name_H-M_alt 'P 1'
_space_group_IT_number 1
_space_group_name_Hall 'P 1'
loop_
_atom_site_label
_atom_site_fract_x
_atom_site_fract_y
_atom_site_fract_z
_atom_site_occupancy
Ho1 0.000 0.334 0.667 1
Y1 0.500 0.000 0.000 1
Ho2 0.499 0.828 0.220 1
Th1 0.499 0.245 0.491 1
Y2 0.000 0.726 0.000 1
Ho3 0.000 0.666 0.333 1
Y3 0.000 0.274 0.000 1
Ho4 0.501 0.172 0.780 1
Th2 0.501 0.755 0.509 1
Ho5 0.499 0.392 0.220 1
Ho6 0.999 0.140 0.280 1
Ho7 0.001 0.860 0.720 1
Ho8 0.501 0.608 0.780 1
# Calculated formation energy = 0.28 eV per atom
# Uncorrected energy = -67.23 eV/cell
# M_tot = 0.00 μB/cell

=====

Record 6
# Pm2Pr3TmSe6, optimized geometry, DFT PBE
data_Pm2Pr3TmSe6
_chemical_formula_sum 'Pm2 Pr3 Tm1 Se6'
_cell_length_a 7.256
_cell_length_b 7.256
_cell_length_c 7.329
_cell_angle_alpha 99.47
_cell_angle_beta 99.47
_cell_angle_gamma 120.21
_space_group_name_H-M_alt 'P 1'
_space_group_IT_number 1
_space_group_name_Hall 'P 1'
loop_
_atom_site_label
_atom_site_fract_x
_atom_site_fract_y
_atom_site_fract_z
_atom_site_occupancy
Se1 0.401 0.079 0.236 1
Se2 0.599 0.921 0.764 1
Pm1 0.667 0.333 0.000 1
Pr1 0.173 0.827 0.500 1
Se3 0.242 0.242 0.758 1
Pr2 0.827 0.173 0.500 1
Se4 0.758 0.758 0.242 1
Pr3 0.500 0.500 0.500 1
Pm2 0.333 0.667 0.000 1
Se5 0.921 0.599 0.764 1
Tm1 0.000 0.000 0.000 1
Se6 0.079 0.401 0.236 1
# Formation energy from raw total energies = -1.815 eV/atom
# Uncorrected energy = -71.00 eV/cell
# M_tot = 0.00 μB/cell

=====

Record 7
# Fe2HgRh, optimized geometry, DFT PBE
data_Fe2HgRh
_chemical_formula_sum 'Fe2 Hg1 Rh1'
_cell_length_a 4.752
_cell_length_b 4.752
_cell_length_c 4.752
_cell_angle_alpha 131.24
_cell_angle_beta 131.24
_cell_angle_gamma 71.43
_space_group_name_H-M_alt 'P 1'
_space_group_IT_number 1
_space_group_name_Hall 'P 1'
loop_
_atom_site_label
_atom_site_fract_x
_atom_site_fract_y
_atom_site_fract_z
_atom_site_occupancy
Rh1 0.750 0.250 0.500 1
Fe1 0.250 0.750 0.500 1
Fe2 0.000 0.000 0.000 1
Hg1 0.500 0.500 0.000 1
# Calculated formation energy = 0.24 eV per atom
# Uncorrected energy = -23.61 eV/cell
# M_tot = 6.28 μB/cell

=====

Record 8
# Hg2PRh, optimized geometry, DFT PBE
data_Hg2PRh
_chemical_formula_sum 'Hg2 P1 Rh1'
_cell_length_a 5.159
_cell_length_b 5.159
_cell_length_c 5.159
_cell_angle_alpha 132.68
_cell_angle_beta 132.68
_cell_angle_gamma 69.15
_space_group_name_H-M_alt 'P 1'
_space_group_IT_number 1
_space_group_name_Hall 'P 1'
loop_
_atom_site_label
_atom_site_fract_x
_atom_site_fract_y
_atom_site_fract_z
_atom_site_occupancy
Hg1 0.250 0.750 0.500 1
Hg2 0.000 0.000 0.000 1
P1 0.500 0.500 0.000 1
Rh1 0.750 0.250 0.500 1
# Calculated formation energy = 0.41 eV per atom
# Uncorrected energy = -11.72 eV/cell
# M_tot = 0.00 μB/cell